(1)
PmDyPd | PBE | optimized geometry

Values from the calculation:
- Magnetic moment: 0.0 μB/cell
- Formation enthalpy at 0 K: -0.385 eV per atom
- Polymorph energy (0 for the lowest one): 193 meV/atom

Lattice parameters (Å, degrees): 4.7993 4.7993 3.9330 90.00 90.00 120.00
With the nearest neighbours (Å) after each atom.
Space group P3m1 (No. 156)
Unique sites:
Pm (0.0000, 0.0000, 0.0000) (multiplicity 1)  3 Pd 3.06, 3 Dy 3.32
Dy (0.6667, 0.3333, 0.4632) (multiplicity 1)  3 Pd 2.89
Pd (0.3333, 0.6667, 0.6708) (multiplicity 1)  3 Dy 2.89, 3 Pm 3.06

=====

(2)
Pr8ErTm5 | PBE | optimized geometry

Values from the calculation:
- Magnetic moment: 0.0 μB/cell
- Formation enthalpy at 0 K: 0.253 eV per atom

Lattice parameters (Å, degrees): 9.7298 9.7298 10.3094 90.00 90.00 90.00
With the nearest neighbours (Å) after each atom.
Space group I-4 (No. 82)
Unique sites:
Pr (0.0676, 0.3287, 0.4073) (multiplicity 8)  5 Tm 3.40-3.67, 4 Pr 3.58-3.81
Pr (0.0906, 0.1782, 0.7474) (multiplicity 8)  4 Tm 3.21-3.51, 1 Er 3.25
Er (0.0000, 0.5000, 0.7500) (multiplicity 2)  4 Pr 3.25
Tm (0.0000, 0.0000, 0.5000) (multiplicity 2)  8 Pr 3.21-3.40
Tm (0.1080, 0.2020, 0.0738) (multiplicity 8)  8 Pr 3.38-3.67, 2 Tm 3.50

=====

(3)
Y2HAu2 | PBE | optimized geometry

Values from the calculation:
- Magnetic moment: 0.0 μB/cell
- Polymorph energy (0 for the lowest one): 471 meV/atom

Lattice parameters (Å, degrees): 3.8250 3.8250 15.8202 90.00 90.00 90.00
With the nearest neighbours (Å) after each atom.
Space group I4/mmm (No. 139)
Unique sites:
Y (0.0000, 0.0000, 0.1032) (multiplicity 4)  4 Au 3.01, 4 H 3.16, 1 Y 3.27
H (0.0000, 0.0000, 0.5000) (multiplicity 2)  8 Y 3.16
Au (0.0000, 0.5000, 0.2500) (multiplicity 4)  4 Au 2.70, 4 Y 3.01